1.
RbAc2Sn | PBE | relaxed

Theoretical density, Mg/m³: 5.51
DOS(E_F), states/eV/atom: 1.15
DFT total energy, eV per atom: -3.427
Relative energy among the computed polymorphs, meV/atom: 0
Formation enthalpy at 0 K, eV per atom: -0.13

Structure (POSCAR):
```
RbAc2Sn
1.0
4.268 0.000 0.000
0.000 4.268 0.000
0.000 0.000 10.891
Rb Ac Sn
1 2 1
Cartesian
0.000 0.000 0.000
2.134 2.134 3.724
2.134 2.134 7.167
0.000 0.000 5.445
```


2.
RbAcSn2 | PBE | relaxed

Theoretical density, Mg/m³: 5.58
DOS(E_F), states/eV/atom: 0.56
DFT total energy, eV per atom: -3.657
Relative energy among the computed polymorphs, meV/atom: 0
Formation enthalpy at 0 K, eV per atom: -0.39

Structure (POSCAR):
```
RbAcSn2
1.0
4.474 0.000 0.000
0.000 4.474 0.000
0.000 0.000 8.183
Rb Ac Sn
1 1 2
Cartesian
0.000 0.000 0.000
0.000 0.000 4.091
2.237 2.237 2.615
2.237 2.237 5.568
```


3.
Rb2AcSnTe4 | PBE | relaxed

Theoretical density, Mg/m³: 5.11
DOS(E_F), states/eV/atom: 0.46
DFT total energy, eV per atom: -3.803
Formation energy (no corrections), eV per atom: -0.976

Structure (POSCAR):
```
Rb2AcSnTe4
1.0
8.236 0.000 0.000
0.000 4.695 0.000
-2.700 0.000 8.624
Rb Ac Sn Te
2 1 1 4
Cartesian
0.000 0.000 0.000
4.118 2.347 0.000
-1.350 2.347 4.312
2.768 0.000 4.312
0.152 0.000 6.116
1.511 2.347 2.590
4.025 2.347 6.034
5.385 0.000 2.507
```


4.
RbAc2Sn3Te6 | PBE | relaxed

Theoretical density, Mg/m³: 6.05
DOS(E_F), states/eV/atom: 0.22
DFT total energy, eV per atom: -4.136
Formation energy (no corrections), eV per atom: -0.799

Structure (POSCAR):
```
RbAc2Sn3Te6
1.0
10.188 -2.464 0.000
10.188 2.464 0.000
-1.837 0.000 9.086
Rb Ac Sn Te
1 2 3 6
Cartesian
0.000 0.000 0.000
5.549 0.000 6.126
12.989 0.000 2.960
-0.919 0.000 4.543
6.612 0.000 1.344
11.926 0.000 7.743
2.290 0.000 5.223
3.530 0.000 0.718
8.771 0.000 6.574
9.767 0.000 2.512
15.008 0.000 8.369
16.248 0.000 3.863
```


5.
RbAcTlSn | PBE | relaxed

Theoretical density, Mg/m³: 7.14
DOS(E_F), states/eV/atom: 0.96
DFT total energy, eV per atom: -3.030
Formation enthalpy at 0 K, eV per atom: -0.17

Structure (POSCAR):
```
RbAcTlSn
1.0
0.000 4.197 4.197
4.197 0.000 4.197
4.197 4.197 0.000
Rb Ac Tl Sn
1 1 1 1
Cartesian
0.000 0.000 0.000
4.197 4.197 4.197
2.098 2.098 2.098
6.295 6.295 6.295
```


6.
RbSr2Ac | PBE | relaxed

Theoretical density, Mg/m³: 3.54
DOS(E_F), states/eV/atom: 1.45
DFT total energy, eV per atom: -1.992
Relative energy among the computed polymorphs, meV/atom: 0
Formation enthalpy at 0 K, eV per atom: 0.12

Structure (POSCAR):
```
RbSr2Ac
1.0
4.176 0.000 0.000
0.000 4.176 0.000
0.000 0.000 13.117
Rb Sr Ac
1 2 1
Cartesian
0.000 0.000 0.000
2.088 2.088 3.716
2.088 2.088 9.401
0.000 0.000 6.558
```


7.
RbSr2Ac | PBE | relaxed

Theoretical density, Mg/m³: 3.55
DOS(E_F), states/eV/atom: 1.64
DFT total energy, eV per atom: -1.957
Relative energy among the computed polymorphs, meV/atom: 35
Formation enthalpy at 0 K, eV per atom: 0.15

Structure (POSCAR):
```
RbSr2Ac
1.0
2.085 1.204 15.171
-2.085 1.204 15.171
0.000 -2.407 15.171
Rb Sr Ac
1 2 1
Cartesian
0.000 0.000 0.000
0.000 0.000 4.261
0.000 0.000 41.252
0.000 0.000 22.757
```


8.
RbSrAc | PBE | relaxed

Theoretical density, Mg/m³: 3.93
DOS(E_F), states/eV/atom: 1.50
DFT total energy, eV per atom: -2.058
Relative energy among the computed polymorphs, meV/atom: 0
Formation enthalpy at 0 K, eV per atom: 0.19

Structure (POSCAR):
```
RbSrAc
1.0
4.181 0.000 0.000
-2.091 3.621 0.000
0.000 0.000 11.155
Rb Sr Ac
1 1 1
Cartesian
0.000 0.000 0.000
2.091 1.207 4.031
0.000 2.414 7.291
```


9.
RbSrAc | PBE | relaxed

Theoretical density, Mg/m³: 3.96
DOS(E_F), states/eV/atom: 1.35
DFT total energy, eV per atom: -2.054
Relative energy among the computed polymorphs, meV/atom: 3
Formation enthalpy at 0 K, eV per atom: 0.20

Structure (POSCAR):
```
RbSrAc
1.0
22.312 0.000 0.000
0.000 2.086 3.608
0.000 -2.086 3.608
Rb Sr Ac
2 2 2
Cartesian
4.023 0.000 0.000
18.290 0.000 0.000
0.000 0.000 2.382
11.156 0.000 0.068
7.864 0.000 2.474
14.449 0.000 2.474
```


10.
RbSr2Ac | PBE | relaxed

Theoretical density, Mg/m³: 3.69
DOS(E_F), states/eV/atom: 1.16
DFT total energy, eV per atom: -1.888
Relative energy among the computed polymorphs, meV/atom: 104
Formation enthalpy at 0 K, eV per atom: 0.22

Structure (POSCAR):
```
RbSr2Ac
1.0
7.128 0.000 0.000
0.000 7.128 0.000
0.000 0.000 4.318
Rb Sr Ac
1 2 1
Cartesian
0.000 0.000 0.000
0.000 3.564 2.159
3.564 0.000 2.159
3.564 3.564 0.000
```


11.
RbSr2Ac3Te6 | PBE | relaxed

Theoretical density, Mg/m³: 6.04
DOS(E_F), states/eV/atom: 0.39
DFT total energy, eV per atom: -4.497
Formation energy (no corrections), eV per atom: -1.539

Structure (POSCAR):
```
RbSr2Ac3Te6
1.0
10.500 -2.376 0.000
10.500 2.376 0.000
-2.390 0.000 9.410
Rb Sr Ac Te
1 2 3 6
Cartesian
0.000 0.000 0.000
5.408 0.000 6.284
13.202 0.000 3.126
-1.195 0.000 4.705
6.649 0.000 1.581
11.961 0.000 7.828
2.124 0.000 5.478
3.413 0.000 0.811
8.719 0.000 6.923
9.892 0.000 2.486
15.197 0.000 8.599
16.486 0.000 3.932
```


12.
RbSr3Ac2Te6 | PBE | relaxed

Theoretical density, Mg/m³: 5.54
DOS(E_F), states/eV/atom: 0.27
DFT total energy, eV per atom: -4.333
Formation energy (no corrections), eV per atom: -1.576

Structure (POSCAR):
```
RbSr3Ac2Te6
1.0
10.426 -2.385 0.000
10.426 2.385 0.000
-2.168 0.000 9.454
Rb Sr Ac Te
1 3 2 6
Cartesian
0.000 0.000 0.000
-1.084 0.000 4.727
6.697 0.000 1.558
11.988 0.000 7.896
5.536 0.000 6.308
13.149 0.000 3.146
2.236 0.000 5.530
3.445 0.000 0.866
8.780 0.000 6.912
9.905 0.000 2.541
15.240 0.000 8.587
16.449 0.000 3.923
```